[1]
VASP calculation (PBE-GGA) on a relaxed structure of PmDyEr5.

Magnetic moment, μB per cell: 0.0
Calculated formation energy, eV/f.u.: 1.4
Distance to the lowest polymorph of the same formula, eV/atom: 0.000

Cell: 6.7026 6.7026 13.6106 Å, 61.60 61.60 60.34°
Closest atoms and distances in Å follow each position.
Fractional coordinates of all 14 atoms:
Pm: 0.7222 0.2778 0.7500  3 Er 2.95-3.28
Pm: 0.2778 0.7222 0.2500  3 Er 2.95-3.28
Dy: 0.0000 0.0000 0.0000  4 Er 3.23-3.57
Dy: 0.0000 0.0000 0.5000  4 Er 3.23-3.57
Er: 0.1658 0.3914 0.7514  2 Er 2.98-3.27, 1 Dy 3.23
Er: 0.6488 0.6939 0.5004  4 Er 3.27-3.56, 1 Pm 3.28
Er: 0.3914 0.1658 0.2514  2 Er 2.98-3.27, 1 Dy 3.23
Er: 0.1606 0.8394 0.7500  1 Pm 2.95, 2 Er 2.98
Er: 0.3061 0.3512 0.9996  4 Er 3.27-3.56, 1 Pm 3.28
Er: 0.6939 0.6488 0.0004  4 Er 3.27-3.56, 1 Pm 3.28
Er: 0.8394 0.1606 0.2500  1 Pm 2.95, 2 Er 2.98
Er: 0.6086 0.8342 0.7486  2 Er 2.98-3.27, 1 Dy 3.23
Er: 0.3512 0.3061 0.4996  4 Er 3.27-3.56, 1 Pm 3.28
Er: 0.8342 0.6086 0.2486  2 Er 2.98-3.27, 1 Dy 3.23

=====

[2]
VASP calculation (PBE-GGA) on a relaxed structure of Er6Al43V4.

Magnetic moment, μB per cell: 0.0
Calculated formation energy, eV/f.u.: -16.5

Cell: 10.9650 10.9650 17.5876 Å, 90.00 90.00 120.00°
Closest atoms and distances in Å follow each position.
Fractional coordinates of all 106 atoms:
Er: 0.5292 0.0000 0.5959  14 Al 3.04-3.37
Er: 0.4708 0.0000 0.4041  14 Al 3.04-3.37
Er: 0.0000 0.5292 0.5959  14 Al 3.04-3.37
Er: 0.4708 0.0000 0.0959  14 Al 3.04-3.37
Er: 0.0000 0.5292 0.9041  14 Al 3.04-3.37
Er: 0.0000 0.4708 0.4041  14 Al 3.04-3.37
Er: 0.5292 0.0000 0.9041  14 Al 3.04-3.37
Er: 0.0000 0.4708 0.0959  14 Al 3.04-3.37
Er: 0.4708 0.4708 0.5959  14 Al 3.04-3.37
Er: 0.5292 0.5292 0.4041  14 Al 3.04-3.37
Er: 0.5292 0.5292 0.0959  14 Al 3.04-3.37
Er: 0.4708 0.4708 0.9041  14 Al 3.04-3.37
Al: 0.1451 0.5966 0.7500  1 V 2.65, 7 Al 2.76-2.83
Al: 0.8549 0.4034 0.2500  1 V 2.65, 7 Al 2.76-2.83
Al: 0.4034 0.5485 0.7500  1 V 2.65, 7 Al 2.76-2.83
Al: 0.5966 0.1451 0.7500  1 V 2.65, 7 Al 2.76-2.83
Al: 0.5966 0.4515 0.2500  1 V 2.65, 7 Al 2.76-2.83
Al: 0.4034 0.8549 0.2500  1 V 2.65, 7 Al 2.76-2.83
Al: 0.4515 0.8549 0.7500  1 V 2.65, 7 Al 2.76-2.83
Al: 0.5485 0.4034 0.7500  1 V 2.65, 7 Al 2.76-2.83
Al: 0.5485 0.1451 0.2500  1 V 2.65, 7 Al 2.76-2.83
Al: 0.4515 0.5966 0.2500  1 V 2.65, 7 Al 2.76-2.83
Al: 0.8549 0.4515 0.7500  1 V 2.65, 7 Al 2.76-2.83
Al: 0.1451 0.5485 0.2500  1 V 2.65, 7 Al 2.76-2.83
Al: 0.1561 0.0000 0.1156  2 V 2.66-2.67, 9 Al 2.72-2.96
Al: 0.8439 0.0000 0.8844  2 V 2.66-2.67, 9 Al 2.72-2.96
Al: 0.0000 0.1561 0.1156  2 V 2.66-2.67, 9 Al 2.72-2.96
Al: 0.8439 0.0000 0.6156  2 V 2.66-2.67, 9 Al 2.72-2.96
Al: 0.0000 0.1561 0.3844  2 V 2.66-2.67, 9 Al 2.72-2.96
Al: 0.0000 0.8439 0.8844  2 V 2.66-2.67, 9 Al 2.72-2.96
Al: 0.1561 0.0000 0.3844  2 V 2.66-2.67, 9 Al 2.72-2.96
Al: 0.0000 0.8439 0.6156  2 V 2.66-2.67, 9 Al 2.72-2.96
Al: 0.8439 0.8439 0.1156  2 V 2.66-2.67, 9 Al 2.72-2.96
Al: 0.1561 0.1561 0.8844  2 V 2.66-2.67, 9 Al 2.72-2.96
Al: 0.1561 0.1561 0.6156  2 V 2.66-2.67, 9 Al 2.72-2.96
Al: 0.8439 0.8439 0.3844  2 V 2.66-2.67, 9 Al 2.72-2.96
Al: 0.2467 0.4934 0.5000  6 Al 2.72-2.85
Al: 0.7533 0.5066 0.5000  6 Al 2.72-2.85
Al: 0.5066 0.7533 0.5000  6 Al 2.72-2.85
Al: 0.7533 0.5066 0.0000  6 Al 2.72-2.85
Al: 0.4934 0.2467 0.0000  6 Al 2.72-2.85
Al: 0.4934 0.2467 0.5000  6 Al 2.72-2.85
Al: 0.2467 0.4934 0.0000  6 Al 2.72-2.85
Al: 0.5066 0.7533 0.0000  6 Al 2.72-2.85
Al: 0.2467 0.7533 0.5000  6 Al 2.72-2.85
Al: 0.7533 0.2467 0.5000  6 Al 2.72-2.85
Al: 0.7533 0.2467 0.0000  6 Al 2.72-2.85
Al: 0.2467 0.7533 0.0000  6 Al 2.72-2.85
Al: 0.1464 0.0000 0.7500  2 V 2.56, 6 Al 2.78-2.81
Al: 0.8536 0.0000 0.2500  2 V 2.56, 6 Al 2.78-2.81
Al: 0.0000 0.1464 0.7500  2 V 2.56, 6 Al 2.78-2.81
Al: 0.0000 0.8536 0.2500  2 V 2.56, 6 Al 2.78-2.81
Al: 0.8536 0.8536 0.7500  2 V 2.56, 6 Al 2.78-2.81
Al: 0.1464 0.1464 0.2500  2 V 2.56, 6 Al 2.78-2.81
Al: 0.3333 0.6667 0.6263  9 Al 2.72-2.83
Al: 0.6667 0.3333 0.3737  9 Al 2.72-2.83
Al: 0.6667 0.3333 0.1263  9 Al 2.72-2.83
Al: 0.6667 0.3333 0.8737  9 Al 2.72-2.83
Al: 0.3333 0.6667 0.8737  9 Al 2.72-2.83
Al: 0.3333 0.6667 0.1263  9 Al 2.72-2.83
Al: 0.3333 0.6667 0.3737  9 Al 2.72-2.83
Al: 0.6667 0.3333 0.6263  9 Al 2.72-2.83
Al: 0.2524 0.0000 0.5291  9 Al 2.72-2.95, 1 V 2.81
Al: 0.7476 0.0000 0.4709  9 Al 2.72-2.95, 1 V 2.81
Al: 0.0000 0.2524 0.5291  9 Al 2.72-2.95, 1 V 2.81
Al: 0.7476 0.0000 0.0291  9 Al 2.72-2.95, 1 V 2.81
Al: 0.0000 0.2524 0.9709  9 Al 2.72-2.95, 1 V 2.81
Al: 0.0000 0.7476 0.4709  9 Al 2.72-2.95, 1 V 2.81
Al: 0.2524 0.0000 0.9709  9 Al 2.72-2.95, 1 V 2.81
Al: 0.0000 0.7476 0.0291  9 Al 2.72-2.95, 1 V 2.81
Al: 0.7476 0.7476 0.5291  9 Al 2.72-2.95, 1 V 2.81
Al: 0.2524 0.2524 0.4709  9 Al 2.72-2.95, 1 V 2.81
Al: 0.2524 0.2524 0.0291  9 Al 2.72-2.95, 1 V 2.81
Al: 0.7476 0.7476 0.9709  9 Al 2.72-2.95, 1 V 2.81
Al: 0.1589 0.3927 0.6646  1 V 2.68, 6 Al 2.72-2.90
Al: 0.8411 0.6073 0.3354  1 V 2.68, 6 Al 2.72-2.90
Al: 0.6073 0.7662 0.6646  1 V 2.68, 6 Al 2.72-2.90
Al: 0.8411 0.6073 0.1646  1 V 2.68, 6 Al 2.72-2.90
Al: 0.3927 0.1589 0.8354  1 V 2.68, 6 Al 2.72-2.90
Al: 0.3927 0.2338 0.3354  1 V 2.68, 6 Al 2.72-2.90
Al: 0.1589 0.3927 0.8354  1 V 2.68, 6 Al 2.72-2.90
Al: 0.6073 0.8411 0.1646  1 V 2.68, 6 Al 2.72-2.90
Al: 0.2338 0.8411 0.6646  1 V 2.68, 6 Al 2.72-2.90
Al: 0.3927 0.2338 0.1646  1 V 2.68, 6 Al 2.72-2.90
Al: 0.7662 0.6073 0.8354  1 V 2.68, 6 Al 2.72-2.90
Al: 0.7662 0.1589 0.3354  1 V 2.68, 6 Al 2.72-2.90
Al: 0.6073 0.7662 0.8354  1 V 2.68, 6 Al 2.72-2.90
Al: 0.2338 0.3927 0.1646  1 V 2.68, 6 Al 2.72-2.90
Al: 0.6073 0.8411 0.3354  1 V 2.68, 6 Al 2.72-2.90
Al: 0.3927 0.1589 0.6646  1 V 2.68, 6 Al 2.72-2.90
Al: 0.7662 0.1589 0.1646  1 V 2.68, 6 Al 2.72-2.90
Al: 0.2338 0.3927 0.3354  1 V 2.68, 6 Al 2.72-2.90
Al: 0.2338 0.8411 0.8354  1 V 2.68, 6 Al 2.72-2.90
Al: 0.7662 0.6073 0.6646  1 V 2.68, 6 Al 2.72-2.90
Al: 0.8411 0.2338 0.8354  1 V 2.68, 6 Al 2.72-2.90
Al: 0.1589 0.7662 0.1646  1 V 2.68, 6 Al 2.72-2.90
Al: 0.1589 0.7662 0.3354  1 V 2.68, 6 Al 2.72-2.90
Al: 0.8411 0.2338 0.6646  1 V 2.68, 6 Al 2.72-2.90
V: 0.0000 0.0000 0.5000  12 Al 2.66-2.81
V: 0.0000 0.0000 0.0000  12 Al 2.66-2.81
V: 0.7308 0.0000 0.7500  10 Al 2.56-2.68
V: 0.2692 0.0000 0.2500  10 Al 2.56-2.68
V: 0.0000 0.7308 0.7500  10 Al 2.56-2.68
V: 0.0000 0.2692 0.2500  10 Al 2.56-2.68
V: 0.2692 0.2692 0.7500  10 Al 2.56-2.68
V: 0.7308 0.7308 0.2500  10 Al 2.56-2.68

=====

[3]
VASP calculation (PBE-GGA) on a relaxed structure of BaPrGaSe4.

Magnetic moment, μB per cell: 0.0
Uncorrected energy, eV/atom: -4.874

Cell: 6.9612 7.0634 8.8711 Å, 90.00 107.61 90.00°
Closest atoms and distances in Å follow each position.
Fractional coordinates of all 14 atoms:
Ba: 0.7476 0.7500 0.9376  6 Se 3.20-3.46
Ba: 0.2524 0.2500 0.0624  6 Se 3.20-3.46
Pr: 0.7696 0.7500 0.4437  6 Se 3.00-3.09
Pr: 0.2304 0.2500 0.5563  6 Se 3.00-3.09
Ga: 0.2263 0.7500 0.3178  4 Se 2.40-2.42
Ga: 0.7737 0.2500 0.6822  4 Se 2.40-2.42
Se: 0.0103 0.5109 0.7294  1 Ga 2.42
Se: 0.9897 0.0109 0.2706  1 Ga 2.42
Se: 0.9897 0.4891 0.2706  1 Ga 2.42
Se: 0.0103 0.9891 0.7294  1 Ga 2.42
Se: 0.4217 0.7500 0.1356  1 Ga 2.41
Se: 0.5783 0.2500 0.8644  1 Ga 2.41
Se: 0.4330 0.7500 0.5889  1 Ga 2.40
Se: 0.5670 0.2500 0.4111  1 Ga 2.40

=====

[4]
VASP calculation (PBE-GGA) on a relaxed structure of MnSbAu14.

Magnetic moment, μB per cell: 4.3
Uncorrected energy, eV/atom: -3.673

Cell: 5.9835 5.9835 9.5161 Å, 90.00 90.00 120.50°
Closest atoms and distances in Å follow each position.
Fractional coordinates of all 16 atoms:
Mn: 0.0418 0.9582 0.5000  10 Au 2.89-3.00, 2 Sb 2.97
Sb: 0.5437 0.4563 0.5000  10 Au 2.93-3.01, 2 Mn 2.97
Au: 0.2071 0.7929 0.0000  12 Au 2.90-3.01
Au: 0.7085 0.2915 0.0000  12 Au 2.96-3.00
Au: 0.0454 0.4580 0.5000  8 Au 2.90-2.99, 2 Mn 2.98-3.00, 2 Sb 2.99-3.00
Au: 0.2063 0.2900 0.0000  12 Au 2.90-3.01
Au: 0.5420 0.9546 0.5000  8 Au 2.90-2.99, 2 Mn 2.98-3.00, 2 Sb 2.99-3.00
Au: 0.7100 0.7937 0.0000  12 Au 2.90-3.01
Au: 0.3686 0.1206 0.7489  10 Au 2.90-3.03, 1 Mn 2.91, 1 Sb 2.93
Au: 0.3686 0.1206 0.2511  10 Au 2.90-3.03, 1 Mn 2.91, 1 Sb 2.93
Au: 0.8794 0.6314 0.7489  10 Au 2.90-3.03, 1 Mn 2.91, 1 Sb 2.93
Au: 0.8794 0.6314 0.2511  10 Au 2.90-3.03, 1 Mn 2.91, 1 Sb 2.93
Au: 0.3729 0.6271 0.7554  11 Au 2.90-3.02, 1 Sb 3.01
Au: 0.3729 0.6271 0.2446  11 Au 2.90-3.02, 1 Sb 3.01
Au: 0.8767 0.1233 0.7450  1 Mn 2.89, 11 Au 2.90-3.03
Au: 0.8767 0.1233 0.2550  1 Mn 2.89, 11 Au 2.90-3.03

=====

[5]
VASP calculation (PBE-GGA) on a relaxed structure of Cs2P2I.

Magnetic moment, μB per cell: 0.0
Uncorrected energy, eV/atom: -3.414

Cell: 9.6319 9.6319 4.6393 Å, 90.00 90.00 90.00°
Closest atoms and distances in Å follow each position.
Fractional coordinates of all 10 atoms:
Cs: 0.2107 0.7107 0.5000  6 P 3.75-3.82, 4 I 4.15
Cs: 0.7107 0.7893 0.5000  6 P 3.75-3.82, 4 I 4.15
Cs: 0.7893 0.2893 0.5000  6 P 3.75-3.82, 4 I 4.15
Cs: 0.2893 0.2107 0.5000  6 P 3.75-3.82, 4 I 4.15
I: 0.0000 0.0000 0.0000  8 Cs 4.15, 4 P 4.18, 2 I 4.64
I: 0.5000 0.5000 0.0000  8 Cs 4.15, 4 P 4.18, 2 I 4.64
P: 0.4273 0.9273 0.0000  1 P 1.98
P: 0.9273 0.5727 0.0000  1 P 1.98
P: 0.5727 0.0727 0.0000  1 P 1.98
P: 0.0727 0.4273 0.0000  1 P 1.98

=====

[6]
VASP calculation (PBE-GGA) on a relaxed structure of UHgSe.

Magnetic moment, μB per cell: 3.5
Uncorrected energy, eV/atom: -5.386

Cell: 3.5293 3.5293 6.7174 Å, 105.23 105.23 90.00°
Closest atoms and distances in Å follow each position.
Fractional coordinates of all 3 atoms:
U: 0.6882 0.6882 0.3763  4 Se 2.88
Hg: 0.0081 0.0081 0.0161  4 U 3.36, 4 Hg 3.53, 5 Se 3.57-3.69
Se: 0.3038 0.3038 0.6075  4 U 2.88

=====

[7]
VASP calculation (PBE-GGA) on a relaxed structure of Sc2Zn2Rh.

Magnetic moment, μB per cell: 0.0
Calculated formation energy, eV/f.u.: -2.0
Distance to the lowest polymorph of the same formula, eV/atom: 0.106

Cell: 6.8191 6.8191 3.8006 Å, 90.00 90.00 90.00°
Closest atoms and distances in Å follow each position.
Fractional coordinates of all 10 atoms:
Sc: 0.1784 0.6784 0.5000  6 Zn 2.67-2.84
Sc: 0.6784 0.8216 0.5000  6 Zn 2.67-2.84
Sc: 0.8216 0.3216 0.5000  6 Zn 2.67-2.84
Sc: 0.3216 0.1784 0.5000  6 Zn 2.67-2.84
Zn: 0.3726 0.8726 0.0000  1 Zn 2.46, 2 Sc 2.67, 2 Rh 2.69
Zn: 0.8726 0.6274 0.0000  1 Zn 2.46, 2 Sc 2.67, 2 Rh 2.69
Zn: 0.6274 0.1274 0.0000  1 Zn 2.46, 2 Sc 2.67, 2 Rh 2.69
Zn: 0.1274 0.3726 0.0000  1 Zn 2.46, 2 Sc 2.67, 2 Rh 2.69
Rh: 0.0000 0.0000 0.0000  4 Zn 2.69
Rh: 0.5000 0.5000 0.0000  4 Zn 2.69

=====

[8]
VASP calculation (PBE-GGA) on a relaxed structure of Pm2CuSn.

Magnetic moment, μB per cell: 0.0
Calculated formation energy, eV/f.u.: -0.4
Distance to the lowest polymorph of the same formula, eV/atom: 0.322

Cell: 4.7922 9.2777 6.0732 Å, 112.47 113.24 90.00°
Closest atoms and distances in Å follow each position.
Fractional coordinates of all 8 atoms:
Pm: 0.1716 0.5859 0.3434  2 Cu 2.90
Pm: 0.8284 0.4141 0.6566  2 Cu 2.90
Pm: 0.1718 0.0859 0.3434  2 Cu 2.90
Pm: 0.8282 0.9141 0.6566  2 Cu 2.90
Cu: 0.0010 0.7500 0.0000  2 Sn 2.40
Cu: 0.9990 0.2500 0.0000  2 Sn 2.40
Sn: 0.4991 0.2500 0.0000  2 Cu 2.40
Sn: 0.5009 0.7500 0.0000  2 Cu 2.40

=====

Q: Look up the magnetic moment of the seventh one.
A: 0.0 μB per cell

=====

Q: What is the formula in the third record?
A: BaPrGaSe4

=====

Q: Which value of magnetic moment does entry 5 give?
A: 0.0 μB per cell

=====

Q: Which value of magnetic moment does entry 6 give?
A: 3.5 μB per cell